Entry 1:
An optimized crystal structure of Ho3ScTl4Se8, computed with PBE. Values from VASP.

Cell and atoms, written as Quantum ESPRESSO input:
```
&SYSTEM
  ibrav = 0, nat = 16, ntyp = 4
/
ATOMIC_SPECIES
Tl 204.38 Tl.upf
Se 78.96 Se.upf
Ho 164.93 Ho.upf
Sc 44.96 Sc.upf
ATOMIC_POSITIONS angstrom
Tl 2.057 0.555 3.529
Tl -2.061 0.379 3.550
Tl 0.000 0.000 0.000
Tl -4.119 -0.177 0.021
Se -1.897 -2.556 -0.901
Se 0.234 -5.393 0.640
Se 2.353 -4.821 4.273
Se -3.883 -5.598 0.735
Se -4.019 -2.166 2.754
Se -6.138 -2.738 -0.879
Se -1.888 -5.003 4.295
Se 0.098 -1.961 2.658
Ho -1.893 -3.779 1.697
Ho 2.226 -3.603 1.676
Ho -3.950 -4.335 -1.832
Sc 0.169 -4.158 -1.853
CELL_PARAMETERS angstrom
-8.237 -0.353 0.042
0.338 -8.316 -3.706
4.114 1.111 7.058
```

Calculated values
**Space-group type**: R-3m, No. 166
**E_form (uncorrected)**: -1.348 eV/atom
**Calculated volume**: 28.58 A^3/atom



Entry 2:
An optimized crystal structure of HoScTl2Se4, computed with PBE. Values from VASP.

Cell and atoms, written as Quantum ESPRESSO input:
```
&SYSTEM
  ibrav = 0, nat = 8, ntyp = 4
/
ATOMIC_SPECIES
Sc 44.96 Sc.upf
Tl 204.38 Tl.upf
Se 78.96 Se.upf
Ho 164.93 Ho.upf
ATOMIC_POSITIONS angstrom
Sc 0.000 0.000 0.000
Tl 0.141 -1.507 4.275
Tl 3.717 -1.063 2.371
Se 4.562 -1.970 -0.744
Se 2.871 -0.157 5.486
Se 5.076 -3.500 4.230
Se 0.857 -2.356 1.190
Ho 2.076 -3.286 -1.225
CELL_PARAMETERS angstrom
-1.500 -3.730 0.678
5.652 -2.842 -3.129
1.782 0.715 7.871
```

Calculated values
**Space-group type**: P2/m, No. 10
**E_form (uncorrected)**: -1.314 eV/atom
**Calculated volume**: 27.88 A^3/atom



Entry 3:
An optimized crystal structure of HoSc2Tl3Se6, computed with PBE. Values from VASP.

Cell and atoms, written as Quantum ESPRESSO input:
```
&SYSTEM
  ibrav = 0, nat = 12, ntyp = 4
/
ATOMIC_SPECIES
Tl 204.38 Tl.upf
Se 78.96 Se.upf
Ho 164.93 Ho.upf
Sc 44.96 Sc.upf
ATOMIC_POSITIONS angstrom
Tl -3.320 -4.815 1.706
Tl -4.759 1.222 -3.601
Tl -4.040 -1.797 -0.948
Se -6.105 -0.425 1.173
Se -2.002 0.644 -1.941
Se -6.814 -1.146 -2.672
Se -6.077 -4.237 0.046
Se -1.265 -2.447 0.777
Se -1.974 -3.168 -3.068
Ho 0.000 0.000 0.000
Sc -0.020 -3.844 -1.255
Sc -0.733 -0.854 -3.884
CELL_PARAMETERS angstrom
-1.445 2.132 -6.509
0.692 -6.830 1.370
-7.326 1.105 3.245
```

Calculated values
**Space-group type**: C2/m, No. 12
**E_form (uncorrected)**: -1.296 eV/atom
**Calculated volume**: 27.40 A^3/atom



Entry 4:
An optimized crystal structure of Ho2ScTl3Se6, computed with PBE. Values from VASP.

Cell and atoms, written as Quantum ESPRESSO input:
```
&SYSTEM
  ibrav = 0, nat = 12, ntyp = 4
/
ATOMIC_SPECIES
Ho 164.93 Ho.upf
Tl 204.38 Tl.upf
Se 78.96 Se.upf
Sc 44.96 Sc.upf
ATOMIC_POSITIONS angstrom
Ho 0.788 -3.745 1.488
Ho 0.231 -3.218 -2.539
Tl -3.464 -2.945 0.094
Tl -2.911 -3.467 4.091
Tl -4.016 -2.422 -3.903
Se -1.621 -1.116 -1.940
Se -0.848 -4.970 -0.533
Se -1.082 -1.625 1.956
Se -5.845 -4.265 -1.768
Se -6.079 -0.920 0.720
Se -5.306 -4.774 2.128
Sc 0.000 0.000 0.000
CELL_PARAMETERS angstrom
-0.327 -2.691 -6.575
1.346 -4.272 5.523
-7.946 1.073 1.239
```

Calculated values
**Space-group type**: C2/m, No. 12
**E_form (uncorrected)**: -1.338 eV/atom
**Calculated volume**: 28.33 A^3/atom



Entry 5:
An optimized crystal structure of Ho2Tm3ScSe6, computed with PBE. Values from VASP.

Cell and atoms, written as Quantum ESPRESSO input:
```
&SYSTEM
  ibrav = 0, nat = 12, ntyp = 4
/
ATOMIC_SPECIES
Tm 168.93 Tm.upf
Se 78.96 Se.upf
Ho 164.93 Ho.upf
Sc 44.96 Sc.upf
ATOMIC_POSITIONS angstrom
Tm -4.439 -1.101 3.821
Tm -3.413 1.526 -2.490
Tm -5.732 -1.748 -2.954
Se -5.235 0.110 -0.885
Se -3.932 -0.319 -4.626
Se -6.240 -2.530 5.494
Se -7.579 -3.183 -1.327
Se -2.593 0.334 2.195
Se -4.936 -2.959 1.752
Ho -3.111 -1.524 0.098
Ho -7.060 -1.325 0.770
Sc -0.827 1.725 0.584
CELL_PARAMETERS angstrom
-1.654 3.451 1.168
-5.173 -0.399 -6.147
-3.345 -5.901 5.847
```

Calculated values
**Space-group type**: C2/m, No. 12
**Fermi-level density of states**: 5.8 states/eV per cell
**E_form (uncorrected)**: -1.665 eV/atom
**Calculated volume**: 22.77 A^3/atom



Entry 6:
An optimized crystal structure of HoTmSc2Se6, computed with PBE. Values from VASP.

Cell and atoms, written as Quantum ESPRESSO input:
```
&SYSTEM
  ibrav = 0, nat = 10, ntyp = 4
/
ATOMIC_SPECIES
Tm 168.93 Tm.upf
Se 78.96 Se.upf
Sc 44.96 Sc.upf
Ho 164.93 Ho.upf
ATOMIC_POSITIONS angstrom
Tm 10.443 6.029 3.438
Se 7.930 5.948 4.687
Se 5.619 5.886 1.551
Se 4.808 3.894 4.687
Se 9.250 4.249 1.551
Se 8.147 2.217 4.687
Se 6.017 1.924 1.551
Sc 6.962 4.020 2.966
Sc 3.481 2.010 6.100
Ho 3.481 2.010 0.312
CELL_PARAMETERS angstrom
6.962 0.000 0.000
3.481 6.029 0.000
3.481 2.010 6.286
```

Calculated values
**Space-group type**: R3, No. 146
**Fermi-level density of states**: 0.0 states/eV per cell
**E_form (uncorrected)**: -1.747 eV/atom
**Calculated volume**: 26.39 A^3/atom



Entry 7:
An optimized crystal structure of Ho2TmScSe6, computed with PBE. Values from VASP.

Cell and atoms, written as Quantum ESPRESSO input:
```
&SYSTEM
  ibrav = 0, nat = 10, ntyp = 4
/
ATOMIC_SPECIES
Se 78.96 Se.upf
Tm 168.93 Tm.upf
Sc 44.96 Sc.upf
Ho 164.93 Ho.upf
ATOMIC_POSITIONS angstrom
Se 5.729 6.232 1.607
Se 8.173 5.893 4.832
Se 8.075 2.200 4.832
Se 9.591 4.147 1.607
Se 4.926 4.132 4.831
Se 5.854 1.846 1.607
Tm 10.587 6.113 3.440
Sc 3.529 2.037 0.213
Ho 7.058 4.075 2.886
Ho 3.529 2.038 6.104
CELL_PARAMETERS angstrom
7.058 0.000 0.000
3.529 6.112 0.000
3.529 2.038 6.372
```

Calculated values
**Space-group type**: R3, No. 146
**Fermi-level density of states**: 0.0 states/eV per cell
**E_form (uncorrected)**: -1.794 eV/atom
**Calculated volume**: 27.49 A^3/atom



Entry 8:
An optimized crystal structure of Ho2TmScSe4, computed with PBE. Values from VASP.

Cell and atoms, written as Quantum ESPRESSO input:
```
&SYSTEM
  ibrav = 0, nat = 8, ntyp = 4
/
ATOMIC_SPECIES
Sc 44.96 Sc.upf
Ho 164.93 Ho.upf
Se 78.96 Se.upf
Tm 168.93 Tm.upf
ATOMIC_POSITIONS angstrom
Sc -1.386 -3.739 -0.426
Ho 1.021 -2.788 2.679
Ho 4.762 -4.194 2.825
Se 3.569 -7.687 -0.363
Se -1.580 -3.984 2.337
Se -0.218 -6.260 -0.547
Se 2.207 -5.411 2.521
Tm 2.355 -5.144 -0.279
CELL_PARAMETERS angstrom
-2.720 -1.383 2.532
-0.052 -6.095 -3.383
4.762 -4.194 2.825
```

Calculated values
**Space-group type**: P2/m, No. 10
**Fermi-level density of states**: 4.9 states/eV per cell
**E_form (uncorrected)**: -1.668 eV/atom
**Calculated volume**: 22.69 A^3/atom